Entry 1:
Here is a crystal of Ta2ZnCl relaxed with PBEsol from Alexandria via LeMat-Bulk. Energies are from SCAN.

Summary:
The total moment comes out at 0.00 μB per formula unit. The raw total energy is -38.21 eV/atom.

Lattice parameters (Å, degrees): 4.643 4.643 2.874 90.00 90.00 90.00
Element x y z (fractional)
Ta: 0.000 0.500 0.000
Ta: 0.500 0.000 0.000
Zn: 0.000 0.000 0.500
Cl: 0.500 0.500 0.500

=====

Entry 2:
Here is a crystal of Tl2SiAu relaxed with PBEsol from Alexandria via LeMat-Bulk. Energies are from SCAN.

Summary:
The total moment comes out at 0.00 μB per formula unit. For the energy above the most stable polymorph in this dataset, the calculation gives 90 meV/atom. The raw total energy is -55.89 eV/atom.

Lattice parameters (Å, degrees): 4.400 4.933 4.933 64.89 90.00 90.00
Element x y z (fractional)
Tl: 0.000 0.000 0.000
Tl: 0.500 0.363 0.363
Si: 0.000 0.621 0.621
Au: 0.500 0.742 0.742

=====

Entry 3:
Here is a crystal of TeOs3Ru relaxed with PBEsol from Alexandria via LeMat-Bulk. Energies are from SCAN.

Summary:
The total moment comes out at 1.73 μB per formula unit. The raw total energy is -54.62 eV/atom.

Lattice parameters (Å, degrees): 4.687 4.687 4.687 90.00 90.00 90.00
Element x y z (fractional)
Te: 0.000 0.000 0.000
Os: 0.000 0.000 0.500
Os: 0.000 0.500 0.000
Os: 0.500 0.000 0.000
Ru: 0.500 0.500 0.500

=====

Entry 4:
Here is a crystal of Y2Ni relaxed with PBEsol from Alexandria via LeMat-Bulk. Energies are from SCAN.

Summary:
The calculation puts the formation energy at -0.72 eV per formula unit. The total moment comes out at 0.00 μB per formula unit. The raw total energy is -24.19 eV/atom.

Lattice parameters (Å, degrees): 6.625 6.625 6.625 90.00 90.00 90.00
Element x y z (fractional)
Y: 0.163 0.163 0.163
Y: 0.163 0.337 0.663
Y: 0.337 0.663 0.163
Y: 0.337 0.837 0.663
Y: 0.663 0.163 0.337
Y: 0.663 0.337 0.837
Y: 0.837 0.663 0.337
Y: 0.837 0.837 0.837
Ni: 0.000 0.000 0.500
Ni: 0.000 0.500 0.000
Ni: 0.500 0.000 0.000
Ni: 0.500 0.500 0.500